#one
VASP calculation (PBE) on an optimized crystal structure of SrTl3Se.

Unit cell a=6.165 b=6.165 c=6.165 alpha=90.00 beta=90.00 gamma=90.00
Fractional coordinates of all 5 atoms:
1 Se 0.500 0.500 0.500
2 Tl 0.500 0.000 0.000
3 Tl 0.000 0.500 0.000
4 Tl 0.000 0.000 0.500
5 Sr 0.000 0.000 0.000

Results
**ρ**: 5.5 Mg/m³
**DOS(E_F)**: 3.5 states/eV per cell



#two
VASP calculation (PBE) on an optimized crystal structure of SrTl3Se.

Unit cell a=5.860 b=5.860 c=5.860 alpha=90.00 beta=90.00 gamma=90.00
Fractional coordinates of all 5 atoms:
1 Tl 0.000 0.500 0.000
2 Tl 0.500 0.000 0.000
3 Tl 0.000 0.000 0.500
4 Sr 0.500 0.500 0.500
5 Se 0.000 0.000 0.000

Results
**ρ**: 6.4 Mg/m³
**DOS(E_F)**: 4.1 states/eV per cell



Result of the stability comparison: #one is the least stable of them.



#one
VASP calculation (PBE) on an optimized crystal structure of SrTmSe2.

Unit cell a=4.167 b=4.167 c=7.412 alpha=73.67 beta=73.67 gamma=60.00
Fractional coordinates of all 4 atoms:
1 Se 0.258 0.258 0.226
2 Se 0.742 0.742 0.774
3 Tm 0.000 0.000 0.000
4 Sr 0.500 0.500 0.500

Results
**ρ**: 6.5 Mg/m³
**DOS(E_F)**: 1.8 states/eV per cell



#two
VASP calculation (PBE) on an optimized crystal structure of SrTmSe2.

Unit cell a=4.105 b=4.105 c=7.709 alpha=74.56 beta=74.56 gamma=60.00
Fractional coordinates of all 4 atoms:
1 Sr 0.496 0.496 0.512
2 Se 0.260 0.260 0.221
3 Se 0.074 0.074 0.777
4 Tm 0.670 0.670 0.990

Results
**ρ**: 6.4 Mg/m³
**DOS(E_F)**: 2.3 states/eV per cell



Result of the stability comparison: #two is the least stable of them.